No. 1
Computed, not measured: a relaxed MgNpCu2O6 crystal at the PBE-GGA level of DFT.

The structure in POSCAR format:
```
MgNpCu2O6
1.0
5.0148 -4.6376 0.0000
5.0148 4.6376 0.0000
-0.9017 0.0000 5.3569
Mg Np Cu O
2 2 4 12
Direct
0.0853 0.9147 0.7500
0.9147 0.0853 0.2500
0.2671 0.7329 0.2500
0.7329 0.2671 0.7500
0.2131 0.3955 0.6883
0.3955 0.2131 0.1883
0.6045 0.7869 0.8117
0.7869 0.6045 0.3117
0.0148 0.1958 0.6178
0.1499 0.6422 0.9048
0.1958 0.0148 0.1178
0.2855 0.4569 0.3694
0.3578 0.8501 0.5952
0.4569 0.2855 0.8694
0.5431 0.7145 0.1306
0.6422 0.1499 0.4048
0.7145 0.5431 0.6306
0.8042 0.9852 0.8822
0.8501 0.3578 0.0952
0.9852 0.8042 0.3822
```

energy relative to the elements, uncorrected: -41.91 kcal/mol of atoms

---

No. 2
Computed, not measured: a relaxed LiTbGa crystal at the PBE-GGA level of DFT.

The structure in POSCAR format:
```
LiTbGa
1.0
4.6901 0.0000 0.0000
-2.3451 4.0618 0.0000
0.0000 0.0000 6.6444
Li Tb Ga
2 2 2
Direct
0.3333 0.6667 0.2500
0.6667 0.3333 0.7500
0.0000 0.0000 0.0000
0.0000 0.0000 0.5000
0.3333 0.6667 0.7500
0.6667 0.3333 0.2500
```

ΔH_f (0 K): -0.3443 eV per atom

---

No. 3
Computed, not measured: a relaxed Rb2ZnRhBr6 crystal at the PBE-GGA level of DFT.

The structure in POSCAR format:
```
Rb2ZnRhBr6
1.0
-3.7418 3.7418 5.2504
3.7418 -3.7418 5.2504
3.7418 3.7418 -5.2504
Rb Zn Rh Br
2 1 1 6
Direct
0.2500 0.7500 0.5000
0.7500 0.2500 0.5000
0.0000 0.0000 0.0000
0.5000 0.5000 0.0000
0.2537 0.2537 0.0000
0.2564 0.2564 0.5128
0.2564 0.7436 0.0000
0.7436 0.2564 0.0000
0.7436 0.7436 0.4872
0.7463 0.7463 0.0000
```

energy relative to the elements, uncorrected: -21.88 kcal/mol of atoms

---

Copy entry 1 word for word.
Computed, not measured: a relaxed MgNpCu2O6 crystal at the PBE-GGA level of DFT.

The structure in POSCAR format:
```
MgNpCu2O6
1.0
5.0148 -4.6376 0.0000
5.0148 4.6376 0.0000
-0.9017 0.0000 5.3569
Mg Np Cu O
2 2 4 12
Direct
0.0853 0.9147 0.7500
0.9147 0.0853 0.2500
0.2671 0.7329 0.2500
0.7329 0.2671 0.7500
0.2131 0.3955 0.6883
0.3955 0.2131 0.1883
0.6045 0.7869 0.8117
0.7869 0.6045 0.3117
0.0148 0.1958 0.6178
0.1499 0.6422 0.9048
0.1958 0.0148 0.1178
0.2855 0.4569 0.3694
0.3578 0.8501 0.5952
0.4569 0.2855 0.8694
0.5431 0.7145 0.1306
0.6422 0.1499 0.4048
0.7145 0.5431 0.6306
0.8042 0.9852 0.8822
0.8501 0.3578 0.0952
0.9852 0.8042 0.3822
```

energy relative to the elements, uncorrected: -41.91 kcal/mol of atoms